# 1
# Tl2Te

A relaxed Tl2Te crystal (PBE, the Alexandria database).

```
24
Lattice="-4.294 7.232 7.112 1.909 -1.093 10.793 6.551 7.176 5.188" Properties=species:S:1:pos:R:3 pbc="T T T"
Te 3.439 10.206 17.287
Te 2.475 10.310 11.847
Te -1.056 6.692 9.616
Te -0.211 6.208 14.396
Te 5.222 6.623 13.477
Te 1.691 3.006 11.246
Te 4.376 7.107 8.697
Te 0.727 3.109 5.807
Tl 2.437 12.220 14.634
Tl 0.698 1.685 2.634
Tl 1.740 5.014 8.407
Tl 2.426 8.301 14.686
Tl 3.467 11.630 20.460
Tl 5.785 7.727 16.621
Tl 1.395 8.891 8.861
Tl -1.620 5.588 6.473
Tl -2.147 3.616 3.556
Tl 1.729 1.095 8.459
Tl 4.744 4.398 10.847
Tl 2.770 4.424 14.233
Tl 2.083 6.658 11.547
Tl -0.578 8.917 12.246
Tl 0.955 -0.546 5.396
Tl -1.193 3.070 8.953
```

Computed properties:
Total magnetization: 0.000 μB/atom
Relative energy among the computed polymorphs: 0.090 eV/atom
Formation energy from raw total energies: -208 meV/atom

# 2
# Li3AcSn2

A relaxed Li3AcSn2 crystal (PBE, the Alexandria database).

```
12
Lattice="4.689 0.000 0.000 -2.344 8.266 0.042 0.000 -3.679 7.675" Properties=species:S:1:pos:R:3 pbc="T T T"
Li 0.000 -0.816 2.830
Li 0.000 3.166 4.119
Li 0.000 5.472 2.558
Li 2.344 -0.885 5.159
Li 2.344 5.403 4.887
Li 2.344 1.421 3.598
Sn 0.000 4.860 6.332
Sn 0.000 0.557 5.332
Sn 2.344 4.030 2.384
Sn 2.344 -0.273 1.384
Ac 0.000 2.239 0.542
Ac 2.344 2.348 7.174
```

Computed properties:
Total magnetization: 0.000 μB/atom
Formation enthalpy at 0 K: -491 meV per atom
DOS at the Fermi energy: 4.7 states/eV/cell

# 3
# Ba4In3Si

A relaxed Ba4In3Si crystal (PBE, the Alexandria database).

```
8
Lattice="-0.523 -2.477 -4.459 0.230 -4.122 2.262 -13.025 0.086 1.480" Properties=species:S:1:pos:R:3 pbc="T T T"
Ba -8.679 -1.183 -1.273
Ba -4.613 -3.270 -0.591
Ba -1.772 0.012 0.201
Ba -11.213 -1.986 2.418
In -12.544 -1.157 -0.834
In -7.270 -2.012 1.970
In -5.577 0.037 0.634
Si -1.018 -3.293 -0.999
```

Computed properties:
Total magnetization: 0.000 μB/atom
Formation energy from raw total energies: -365 meV/atom
DOS at the Fermi energy: 10.1 states/eV/cell

# 4
# Co2RuCl

A relaxed Co2RuCl crystal (PBE, the Alexandria database).

```
4
Lattice="-0.660 2.697 -0.009 -0.551 -0.126 2.718 6.520 1.601 1.396" Properties=species:S:1:pos:R:3 pbc="T T T"
Ru 1.024 1.686 1.704
Cl 4.285 2.486 2.402
Co 0.043 0.011 0.009
Co 3.217 0.790 0.689
```

Computed properties:
Total magnetization: 0.730 μB/atom
Relative energy among the computed polymorphs: 0.112 eV/atom
Formation energy from raw total energies: 464 meV/atom
DOS at the Fermi energy: 5.9 states/eV/cell

# 5
# NpCuH6Ir

A relaxed NpCuH6Ir crystal (PBE, the Alexandria database).

```
9
Lattice="-4.493 -0.245 -0.880 -2.216 -3.985 0.479 -0.856 0.970 4.102" Properties=species:S:1:pos:R:3 pbc="T T T"
H -2.442 0.062 0.504
H -1.335 -1.754 1.164
H -1.801 -1.228 3.396
H -2.906 0.589 2.736
H -3.517 -1.874 0.737
H -3.983 -1.346 2.969
Cu -4.900 -2.335 1.784
Ir -2.664 -0.925 1.918
Np -5.348 0.724 3.223
```

Computed properties:
Total magnetization: 0.449 μB/atom
Electronic total energy: -5.202 eV/atom
DOS at the Fermi energy: 11.6 states/eV/cell

# 6
# Sr4H

A relaxed Sr4H crystal (PBE, the Alexandria database).

```
5
Lattice="5.862 0.000 0.000 0.000 5.862 0.000 0.000 0.000 5.862" Properties=species:S:1:pos:R:3 pbc="T T T"
Sr 2.931 0.000 2.931
Sr 0.000 0.000 0.000
Sr 0.000 2.931 2.931
Sr 2.931 2.931 0.000
H 2.931 2.931 2.931
```

Computed properties:
Total magnetization: 0.000 μB/atom
Electronic total energy: -2.115 eV/atom
DOS at the Fermi energy: 3.1 states/eV/cell

# 7
# SrAcGaRu

A relaxed SrAcGaRu crystal (PBE, the Alexandria database).

```
4
Lattice="-4.097 0.856 -1.197 1.985 -3.589 -1.459 -0.664 -3.469 7.671" Properties=species:S:1:pos:R:3 pbc="T T T"
Sr -1.602 -1.187 2.495
Ru -2.894 -0.633 -0.621
Ac 1.111 -6.145 5.440
Ga -0.957 -2.254 -0.493
```

Computed properties:
Total magnetization: 0.000 μB/atom
Formation enthalpy at 0 K: -301 meV per atom
DOS at the Fermi energy: 2.3 states/eV/cell

# 8
# La2SiCl

A relaxed La2SiCl crystal (PBE, the Alexandria database).

```
4
Lattice="-4.461 -1.596 2.222 -2.875 3.357 2.802 -4.595 1.689 -1.850" Properties=species:S:1:pos:R:3 pbc="T T T"
La -2.983 0.863 0.794
La -8.948 2.588 2.381
Si 0.000 0.000 0.000
Cl -5.965 1.725 1.587
```

Computed properties:
Total magnetization: 0.000 μB/atom
Relative energy among the computed polymorphs: 0.184 eV/atom
Formation energy from raw total energies: -1074 meV/atom
DOS at the Fermi energy: 2.4 states/eV/cell

# 9
# SmSi3Ir5

A relaxed SmSi3Ir5 crystal (PBE, the Alexandria database).

```
18
Lattice="3.924 0.000 0.000 -1.962 6.186 0.000 0.000 0.000 12.376" Properties=species:S:1:pos:R:3 pbc="T T T"
Sm 1.962 4.234 9.282
Sm 0.000 1.952 3.094
Ir 1.962 3.656 0.916
Ir 0.000 2.530 7.104
Ir 0.000 0.000 6.188
Ir 1.962 0.661 8.000
Ir 0.000 0.000 0.000
Ir 1.962 3.656 5.272
Ir 1.962 0.661 10.563
Ir 0.000 2.530 11.460
Ir 0.000 5.525 1.812
Ir 0.000 5.525 4.376
Si 0.000 4.776 6.707
Si 1.962 4.671 3.094
Si 0.000 4.776 11.856
Si 0.000 1.515 9.282
Si 1.962 1.410 0.519
Si 1.962 1.410 5.668
```

Computed properties:
Total magnetization: 0.000 μB/atom
Formation energy from raw total energies: -669 meV/atom
DOS at the Fermi energy: 10.3 states/eV/cell

# 10
# Nd2Sm3Dy8

A relaxed Nd2Sm3Dy8 crystal (PBE, the Alexandria database).

```
13
Lattice="-1.724 2.874 -5.231 -6.059 -1.336 0.036 -6.090 8.576 5.505" Properties=species:S:1:pos:R:3 pbc="T T T"
Dy -3.396 1.025 0.461
Dy -6.338 4.665 -1.491
Dy -7.536 5.448 1.802
Dy -6.796 2.050 0.910
Dy -2.935 3.645 -1.949
Dy -10.478 9.088 -0.151
Dy -10.939 6.469 2.260
Dy -7.077 8.063 -0.600
Sm -8.283 8.831 2.676
Sm -5.591 1.282 -2.366
Sm 0.000 0.000 0.000
Nd -9.730 5.699 -1.028
Nd -4.144 4.415 1.338
```

Computed properties:
Total magnetization: 0.000 μB/atom
Relative energy among the computed polymorphs: 0.000 eV/atom
Formation enthalpy at 0 K: 18 meV per atom
DOS at the Fermi energy: 18.6 states/eV/cell

# 11
# Nd6Ho3Er

A relaxed Nd6Ho3Er crystal (PBE, the Alexandria database).

```
20
Lattice="-4.719 0.587 -4.250 -1.904 -10.939 0.603 -5.222 7.101 6.780" Properties=species:S:1:pos:R:3 pbc="T T T"
Nd -4.311 2.980 1.794
Nd -5.269 -4.349 -2.940
Nd -7.382 2.427 2.265
Nd -3.860 -10.075 -0.834
Nd -7.506 -1.476 2.884
Nd -2.435 -2.013 1.965
Nd -3.565 -5.790 1.678
Nd -9.303 6.987 2.782
Nd -8.532 -6.107 0.441
Nd -5.080 -0.169 0.371
Nd -7.575 1.222 5.175
Nd -4.861 -3.320 4.478
Ho -6.155 1.987 -2.178
Ho -10.888 -0.562 2.726
Ho -3.037 -2.431 -1.465
Ho -7.770 -4.980 3.439
Ho -4.328 0.184 4.047
Ho -5.931 -3.633 0.515
Er -5.101 3.662 5.110
Er -5.431 -7.077 -0.793
```

Computed properties:
Total magnetization: 0.000 μB/atom
Relative energy among the computed polymorphs: 0.000 eV/atom
Formation enthalpy at 0 K: 141 meV per atom
DOS at the Fermi energy: 27.9 states/eV/cell

# 12
# NdDyHo2

A relaxed NdDyHo2 crystal (PBE, the Alexandria database).

```
4
Lattice="-0.191 -3.477 0.840 2.602 -2.237 -1.028 5.647 2.059 9.810" Properties=species:S:1:pos:R:3 pbc="T T T"
Nd 0.000 0.000 0.000
Ho 3.036 -3.288 2.357
Ho 5.022 -0.366 7.265
Dy 2.823 1.030 4.905
```

Computed properties:
Total magnetization: 0.000 μB/atom
Relative energy among the computed polymorphs: 0.000 eV/atom
Formation enthalpy at 0 K: -1 meV per atom
DOS at the Fermi energy: 4.8 states/eV/cell

# 13
# SiHgIr2

A relaxed SiHgIr2 crystal (PBE, the Alexandria database).

```
4
Lattice="-0.445 -2.478 -1.485 2.831 -0.637 0.214 1.491 -4.130 6.445" Properties=species:S:1:pos:R:3 pbc="T T T"
Hg 3.019 -4.814 4.252
Si 0.858 -2.431 0.923
Ir 2.734 -0.823 0.553
Ir 2.259 -2.198 2.991
```

Computed properties:
Total magnetization: 0.000 μB/atom
Relative energy among the computed polymorphs: 0.000 eV/atom
Formation energy from raw total energies: -191 meV/atom
DOS at the Fermi energy: 1.5 states/eV/cell

# 14
# SmDyPt

A relaxed SmDyPt crystal (PBE, the Alexandria database).

```
3
Lattice="-4.661 -0.821 -1.333 -0.975 -2.526 -4.104 -1.878 -4.534 0.292" Properties=species:S:1:pos:R:3 pbc="T T T"
Dy -3.757 -3.940 -2.572
Pt -1.878 -1.970 -1.286
Sm 0.000 0.000 0.000
```

Computed properties:
Total magnetization: 0.000 μB/atom
Relative energy among the computed polymorphs: 0.074 eV/atom
Formation enthalpy at 0 K: -815 meV per atom
DOS at the Fermi energy: 2.0 states/eV/cell

# 15
# Ho10In20Ni9

A relaxed Ho10In20Ni9 crystal (PBE, the Alexandria database).

```
78
Lattice="13.384 0.000 0.000 0.000 13.384 0.000 0.000 0.000 9.200" Properties=species:S:1:pos:R:3 pbc="T T T"
Ni 0.000 0.000 0.000
Ni 2.079 8.771 8.234
Ni 3.720 0.000 5.450
Ni 6.692 6.692 0.000
Ni 4.613 11.305 0.965
Ni 0.000 9.664 3.749
Ni 4.613 2.079 0.965
Ni 11.305 4.613 8.234
Ni 6.692 2.972 5.450
Ni 9.664 0.000 5.450
Ni 8.771 2.079 0.965
Ni 11.305 8.771 8.234
Ni 2.079 4.613 8.234
Ni 8.771 11.305 0.965
Ni 6.692 10.412 5.450
Ni 2.972 6.692 3.749
Ni 10.412 6.692 3.749
Ni 0.000 3.720 3.749
Ho 6.692 0.000 1.523
Ho 6.692 0.000 5.869
Ho 10.663 9.413 2.467
Ho 10.401 0.000 2.138
Ho 0.000 10.401 7.061
Ho 6.692 3.709 2.138
Ho 2.983 0.000 2.138
Ho 9.675 6.692 7.061
Ho 3.709 6.692 7.061
Ho 9.413 10.663 6.732
Ho 0.000 6.692 3.330
Ho 10.663 3.971 2.467
Ho 0.000 2.983 7.061
Ho 2.721 3.971 2.467
Ho 3.971 2.721 6.732
Ho 6.692 9.675 2.138
Ho 3.971 10.663 6.732
Ho 2.721 9.413 2.467
Ho 0.000 6.692 7.676
Ho 9.413 2.721 6.732
In 0.000 4.463 0.845
In 8.246 6.692 2.162
In 5.138 6.692 2.162
In 4.925 11.617 3.774
In 1.747 11.637 4.600
In 4.925 1.767 3.774
In 11.155 6.692 0.845
In 1.747 1.747 4.600
In 4.945 4.945 4.600
In 1.554 0.000 7.037
In 4.620 8.764 0.000
In 8.764 4.620 0.000
In 4.463 0.000 8.355
In 2.229 6.692 0.845
In 11.637 1.747 4.600
In 6.692 11.155 8.355
In 2.072 2.072 0.000
In 8.459 11.617 3.774
In 11.617 8.459 5.426
In 0.000 8.921 0.845
In 4.945 8.439 4.600
In 8.439 4.945 4.600
In 0.000 1.554 2.162
In 4.620 4.620 0.000
In 8.459 1.767 3.774
In 11.637 11.637 4.600
In 6.692 2.229 8.355
In 8.921 0.000 8.355
In 8.439 8.439 4.600
In 1.767 8.459 5.426
In 11.617 4.925 5.426
In 0.000 11.830 2.162
In 2.072 11.312 0.000
In 11.312 2.072 0.000
In 8.764 8.764 0.000
In 6.692 5.138 7.037
In 1.767 4.925 5.426
In 11.312 11.312 0.000
In 11.830 0.000 7.037
In 6.692 8.246 7.037
```

Computed properties:
Total magnetization: 0.000 μB/atom
Formation enthalpy at 0 K: -432 meV per atom
DOS at the Fermi energy: 34.4 states/eV/cell

# 16
# Sm5In2Os

A relaxed Sm5In2Os crystal (PBE, the Alexandria database).

```
16
Lattice="4.775 0.000 0.000 0.000 7.873 0.000 0.000 0.000 12.382" Properties=species:S:1:pos:R:3 pbc="T T T"
In 2.387 4.529 2.079
In 2.387 7.281 8.270
In 2.387 3.345 10.303
In 2.387 0.592 4.112
Sm 2.387 5.377 5.317
Sm 2.387 2.497 7.065
Sm 2.387 6.433 11.508
Sm 0.000 1.099 9.864
Sm 0.000 6.775 2.518
Sm 0.000 2.838 3.673
Sm 0.000 5.035 8.709
Sm 0.000 0.000 6.191
Sm 2.387 1.440 0.874
Sm 0.000 3.937 0.000
Os 0.000 0.000 0.000
Os 0.000 3.937 6.191
```

Computed properties:
Total magnetization: 0.000 μB/atom
Formation enthalpy at 0 K: -315 meV per atom
DOS at the Fermi energy: 15.0 states/eV/cell

# 17
# PrHo2ErTe6

A relaxed PrHo2ErTe6 crystal (PBE, the Alexandria database).

```
10
Lattice="-7.400 -1.431 1.807 -1.711 -4.236 6.262 -3.215 3.960 6.597" Properties=species:S:1:pos:R:3 pbc="T T T"
Te -5.651 -0.895 4.195
Te -8.591 -2.887 7.043
Te -8.033 1.423 7.028
Te -3.981 1.121 7.664
Te -4.113 -3.243 7.779
Te -6.611 -0.690 10.256
Er -3.043 -1.703 2.814
Pr -9.208 -2.489 10.192
Ho -3.211 3.834 6.513
Ho -6.158 -1.028 7.216
```

Computed properties:
Total magnetization: 0.000 μB/atom
Formation energy from raw total energies: -1355 meV/atom

# 18
# Ac2Ni6GeC

A relaxed Ac2Ni6GeC crystal (PBE, the Alexandria database).

```
10
Lattice="-0.223 -5.526 0.973 4.480 0.684 4.879 -0.335 -1.716 6.436" Properties=species:S:1:pos:R:3 pbc="T T T"
Ni 0.709 -2.147 4.213
Ni 2.771 -5.494 10.341
Ni 3.213 -4.411 8.076
Ni 1.030 -3.958 2.465
Ni 1.151 -1.064 1.948
Ni 2.892 -2.600 9.824
Ac 3.029 -1.801 6.664
Ac 0.893 -4.757 5.625
C 2.128 -2.421 2.926
Ge 0.000 0.000 0.000
```

Computed properties:
Total magnetization: 0.000 μB/atom
Formation enthalpy at 0 K: -284 meV per atom
DOS at the Fermi energy: 9.9 states/eV/cell

# 19
# YNiMo4

A relaxed YNiMo4 crystal (PBE, the Alexandria database).

```
6
Lattice="0.000 3.774 3.774 3.774 0.000 3.774 3.774 3.774 0.000" Properties=species:S:1:pos:R:3 pbc="T T T"
Mo 4.721 4.721 2.827
Mo 2.827 4.721 4.721
Mo 2.827 2.827 2.827
Mo 4.721 2.827 4.721
Ni 5.661 5.661 5.661
Y 0.000 0.000 0.000
```

Computed properties:
Total magnetization: 0.000 μB/atom
Formation enthalpy at 0 K: 401 meV per atom
DOS at the Fermi energy: 6.9 states/eV/cell

# 20
# SrLiAc2Tl4

A relaxed SrLiAc2Tl4 crystal (PBE, the Alexandria database).

```
8
Lattice="-0.637 5.466 1.364 -2.486 3.560 -3.646 -9.383 1.085 3.050" Properties=species:S:1:pos:R:3 pbc="T T T"
Tl -9.283 4.357 1.768
Tl -6.296 8.295 -0.833
Tl -6.211 1.817 1.601
Tl -3.224 5.754 -1.000
Ac -9.277 7.608 0.529
Ac -3.230 2.504 0.239
Li -6.253 5.056 0.384
Sr 0.000 0.000 0.000
```

Computed properties:
Total magnetization: 0.000 μB/atom
Formation enthalpy at 0 K: -338 meV per atom
DOS at the Fermi energy: 4.3 states/eV/cell